SmEr7Hg4: relaxed, GGA-PBE.

Unit cell a=14.528 b=5.652 c=9.669 alpha=90.00 beta=122.18 gamma=90.00
Space group C2/m (No. 12)
Asymmetric unit:
Sm: 0.000 0.000 0.000 x2
Er: 0.000 0.500 0.000 x2
Er: 0.067 0.000 0.407 x4
Er: 0.208 0.000 0.883 x4
Er: 0.232 0.500 0.683 x4
Hg: 0.047 0.500 0.726 x4
Hg: 0.189 0.500 0.338 x4

## Properties
**ΔE_f**: -0.094 eV/atom
**E**: -0.1194 hartree per atom
**M_tot**: 0.00 Bohr magnetons per cell